(1)
## YAlSb (PBE-GGA)

Data for YAlSb after structural relaxation.

Cell: 4.7247 4.7247 3.8650 Å, 90.00 90.00 120.00°
Sites, in units of the cell vectors:
Y1 0.0000 0.0000 0.0000
Al1 0.6667 0.3333 0.4984
Sb1 0.3333 0.6667 0.5008

Values from the calculation:
- size of the total moment (μB/cell) = 0.00
- final energy (eV per atom) = -5.17

---

(2)
## YAl3Sb (PBE-GGA)

Data for YAl3Sb after structural relaxation.

Cell: 5.2324 5.2324 5.2324 Å, 90.00 90.00 90.00°
Sites, in units of the cell vectors:
Y1 0.0000 0.0000 0.0000
Al1 0.0000 0.5000 0.5000
Al2 0.5000 0.0000 0.5000
Al3 0.5000 0.5000 0.0000
Sb1 0.5000 0.5000 0.5000

Values from the calculation:
- size of the total moment (μB/cell) = 0.00
- final energy (eV per atom) = -3.72

---

(3)
## YAlSb3 (PBE-GGA)

Data for YAlSb3 after structural relaxation.

Cell: 5.2755 5.2755 5.2755 Å, 90.00 90.00 90.00°
Sites, in units of the cell vectors:
Y1 0.0000 0.0000 0.0000
Al1 0.5000 0.5000 0.5000
Sb1 0.0000 0.5000 0.5000
Sb2 0.5000 0.0000 0.5000
Sb3 0.5000 0.5000 0.0000

Values from the calculation:
- size of the total moment (μB/cell) = 0.00
- final energy (eV per atom) = -4.36

---

(4)
## YAl2Sb2 (PBE-GGA)

Data for YAl2Sb2 after structural relaxation.

Cell: 7.8655 7.8655 3.9304 Å, 90.00 90.00 90.00°
Sites, in units of the cell vectors:
Y1 0.0000 0.0000 0.0000
Y2 0.5000 0.5000 0.0000
Al1 0.1506 0.3494 0.5000
Al2 0.3494 0.8494 0.5000
Al3 0.6506 0.1506 0.5000
Al4 0.8494 0.6506 0.5000
Sb1 0.1473 0.6473 0.0000
Sb2 0.3527 0.1473 0.0000
Sb3 0.6473 0.8527 0.0000
Sb4 0.8527 0.3527 0.0000

Values from the calculation:
- size of the total moment (μB/cell) = 0.00
- final energy (eV per atom) = -4.59

---

(5)
## Al2ZnSb2 (PBE-GGA)

Data for Al2ZnSb2 after structural relaxation.

Cell: 7.6622 7.6622 3.7522 Å, 90.00 90.00 90.00°
Sites, in units of the cell vectors:
Al1 0.1331 0.3669 0.0000
Al2 0.3669 0.8669 0.0000
Al3 0.6331 0.1331 0.0000
Al4 0.8669 0.6331 0.0000
Zn1 0.0000 0.0000 0.0000
Zn2 0.5000 0.5000 0.0000
Sb1 0.1646 0.6646 0.5000
Sb2 0.3354 0.1646 0.5000
Sb3 0.6646 0.8354 0.5000
Sb4 0.8354 0.3354 0.5000

Values from the calculation:
- size of the total moment (μB/cell) = 0.00
- final energy (eV per atom) = -3.21

---

(6)
## AlZnSb4 (PBE-GGA)

Data for AlZnSb4 after structural relaxation.

Cell: 6.2258 6.2258 6.2258 Å, 60.00 60.00 60.00°
Sites, in units of the cell vectors:
Al1 0.0000 0.0000 0.0000
Zn1 0.2500 0.2500 0.2500
Sb1 0.1245 0.6252 0.6252
Sb2 0.6252 0.1245 0.6252
Sb3 0.6252 0.6252 0.1245
Sb4 0.6252 0.6252 0.6252

Values from the calculation:
- size of the total moment (μB/cell) = 0.00
- final energy (eV per atom) = -3.17

---

- size of the total moment of number 3 (YAlSb3)?
  0.00 μB/cell